Entry 1:
VASP calculation (GGA-PBE) on a relaxed Ba5Sr2LiHg2 crystal.

Cell lengths 14.706, 14.706, 4.497 Å; angles 90.00, 90.00, 90.00 degrees
Sites, in units of the cell vectors:
Ba (0.000, 0.500, 0.000)
Ba (0.052, 0.206, 0.000)
Ba (0.206, 0.948, 0.000)
Ba (0.294, 0.448, 0.000)
Ba (0.448, 0.706, 0.000)
Ba (0.500, 0.000, 0.000)
Ba (0.552, 0.294, 0.000)
Ba (0.706, 0.552, 0.000)
Ba (0.794, 0.052, 0.000)
Ba (0.948, 0.794, 0.000)
Sr (0.191, 0.691, 0.500)
Sr (0.309, 0.191, 0.500)
Sr (0.691, 0.809, 0.500)
Sr (0.809, 0.309, 0.500)
Li (0.000, 0.000, 0.500)
Li (0.500, 0.500, 0.500)
Hg (0.134, 0.366, 0.500)
Hg (0.366, 0.866, 0.500)
Hg (0.634, 0.134, 0.500)
Hg (0.866, 0.634, 0.500)

Calculated values
- DOS at the Fermi energy (states/eV/f.u.) = 13.11
- space-group type = P4/mbm (127)
- calculated density (g/cm³) = 4.34
- formation enthalpy at 0 K (eV per atom) = -0.20

---

Entry 2:
VASP calculation (GGA-PBE) on a relaxed Zr2BeAl crystal.

Cell lengths 8.688, 8.688, 8.688 Å; angles 21.36, 21.36, 21.36 degrees
Sites, in units of the cell vectors:
Zr (0.238, 0.238, 0.238)
Zr (0.762, 0.762, 0.762)
Be (0.500, 0.500, 0.500)
Al (0.000, 0.000, 0.000)

Calculated values
- DOS at the Fermi energy (states/eV/f.u.) = 3.01
- space-group type = R-3m (166)
- calculated density (g/cm³) = 4.76
- formation enthalpy at 0 K (eV per atom) = 0.03

---

Entry 3:
VASP calculation (GGA-PBE) on a relaxed Dy2TmSi3Pt4 crystal.

Cell lengths 4.161, 4.161, 10.975 Å; angles 90.00, 90.00, 90.00 degrees
Sites, in units of the cell vectors:
Dy (0.000, 0.500, 0.224)
Dy (0.500, 0.000, 0.776)
Tm (0.000, 0.000, 0.500)
Si (0.000, 0.500, 0.876)
Si (0.500, 0.000, 0.124)
Si (0.500, 0.500, 0.500)
Pt (0.000, 0.000, 0.000)
Pt (0.000, 0.500, 0.661)
Pt (0.500, 0.000, 0.339)
Pt (0.500, 0.500, 0.000)

Calculated values
- DOS at the Fermi energy (states/eV/f.u.) = 7.55
- space-group type = P-4m2 (115)
- calculated density (g/cm³) = 11.87
- formation energy from raw total energies (eV/atom) = -1.070

---

Entry 4:
VASP calculation (GGA-PBE) on a relaxed KZrOs crystal.

Cell lengths 3.458, 3.458, 7.884 Å; angles 90.00, 90.00, 120.00 degrees
Sites, in units of the cell vectors:
K (0.000, 0.000, 0.000)
Zr (0.333, 0.667, 0.550)
Os (0.667, 0.333, 0.345)

Calculated values
- DOS at the Fermi energy (states/eV/f.u.) = 3.93
- space-group type = P3m1 (156)
- calculated density (g/cm³) = 6.52
- formation enthalpy at 0 K (eV per atom) = 0.66

---

Entry 5:
VASP calculation (GGA-PBE) on a relaxed CdTe2 crystal.

Cell lengths 4.401, 4.401, 11.223 Å; angles 90.00, 90.00, 94.90 degrees
Sites, in units of the cell vectors:
Cd (0.000, 0.000, 0.000)
Cd (0.500, 0.500, 0.500)
Te (0.108, 0.892, 0.608)
Te (0.392, 0.608, 0.108)
Te (0.608, 0.392, 0.892)
Te (0.892, 0.108, 0.392)

Calculated values
- DOS at the Fermi energy (states/eV/f.u.) = 0.08
- space-group type = Cmce (64)
- calculated density (g/cm³) = 5.64
- formation energy from raw total energies (eV/atom) = -0.080

---

Entry 6:
VASP calculation (GGA-PBE) on a relaxed La3TmSb4 crystal.

Cell lengths 7.887, 7.887, 4.565 Å; angles 90.00, 90.00, 109.50 degrees
Sites, in units of the cell vectors:
La (0.000, 0.000, 0.000)
La (0.000, 0.500, 0.500)
La (0.500, 0.000, 0.500)
Tm (0.500, 0.500, 0.000)
Sb (0.256, 0.744, 0.000)
Sb (0.261, 0.261, 0.500)
Sb (0.739, 0.739, 0.500)
Sb (0.744, 0.256, 0.000)

Calculated values
- DOS at the Fermi energy (states/eV/f.u.) = 0.92
- space-group type = Cmmm (65)
- calculated density (g/cm³) = 6.65
- formation energy from raw total energies (eV/atom) = -1.209

---

Entry 7:
VASP calculation (GGA-PBE) on a relaxed BaHg3Au crystal.

Cell lengths 5.437, 5.437, 5.902 Å; angles 115.02, 115.02, 81.36 degrees
Sites, in units of the cell vectors:
Ba (0.000, 0.000, 0.000)
Hg (0.282, 0.708, 0.506)
Hg (0.663, 0.663, 0.216)
Hg (0.708, 0.282, 0.506)
Au (0.293, 0.293, 0.719)

Calculated values
- DOS at the Fermi energy (states/eV/f.u.) = 2.70
- space-group type = Cm (8)
- calculated density (g/cm³) = 10.86
- formation enthalpy at 0 K (eV per atom) = -0.40

---

Entry 8:
VASP calculation (GGA-PBE) on a relaxed Ca11Tl4Cd9 crystal.

Cell lengths 13.704, 13.704, 3.860 Å; angles 90.00, 90.00, 108.40 degrees
Sites, in units of the cell vectors:
Ca (0.000, 0.000, 0.000)
Ca (0.068, 0.409, 0.000)
Ca (0.175, 0.825, 0.000)
Ca (0.235, 0.235, 0.000)
Ca (0.352, 0.648, 0.000)
Ca (0.409, 0.068, 0.000)
Ca (0.591, 0.932, 0.000)
Ca (0.648, 0.352, 0.000)
Ca (0.765, 0.765, 0.000)
Ca (0.825, 0.175, 0.000)
Ca (0.932, 0.591, 0.000)
Tl (0.269, 0.438, 0.500)
Tl (0.438, 0.269, 0.500)
Tl (0.562, 0.731, 0.500)
Tl (0.731, 0.562, 0.500)
Cd (0.031, 0.203, 0.500)
Cd (0.143, 0.622, 0.500)
Cd (0.203, 0.031, 0.500)
Cd (0.378, 0.857, 0.500)
Cd (0.500, 0.500, 0.500)
Cd (0.622, 0.143, 0.500)
Cd (0.797, 0.969, 0.500)
Cd (0.857, 0.378, 0.500)
Cd (0.969, 0.797, 0.500)

Calculated values
- DOS at the Fermi energy (states/eV/f.u.) = 15.18
- space-group type = Cmmm (65)
- calculated density (g/cm³) = 5.48
- formation enthalpy at 0 K (eV per atom) = -0.34

---

Entry 9:
VASP calculation (GGA-PBE) on a relaxed Cr2CoMo crystal.

Cell lengths 5.265, 5.265, 5.265 Å; angles 102.36, 102.36, 124.88 degrees
Sites, in units of the cell vectors:
Cr (0.103, 0.625, 0.978)
Cr (0.375, 0.353, 0.478)
Cr (0.647, 0.125, 0.022)
Cr (0.875, 0.897, 0.522)
Co (0.000, 0.000, 0.000)
Co (0.750, 0.250, 0.500)
Mo (0.250, 0.750, 0.500)
Mo (0.500, 0.500, 0.000)

Calculated values
- DOS at the Fermi energy (states/eV/f.u.) = 5.95
- space-group type = I-42d (122)
- calculated density (g/cm³) = 8.10
- formation enthalpy at 0 K (eV per atom) = 0.71

---

Entry 10:
VASP calculation (GGA-PBE) on a relaxed La4PrCd2 crystal.

Cell lengths 5.673, 5.673, 16.928 Å; angles 90.00, 90.00, 119.97 degrees
Sites, in units of the cell vectors:
La (0.000, 0.000, 0.000)
La (0.000, 0.000, 0.500)
La (0.333, 0.667, 0.641)
La (0.333, 0.667, 0.859)
La (0.334, 0.666, 0.250)
La (0.666, 0.334, 0.750)
La (0.667, 0.333, 0.141)
La (0.667, 0.333, 0.359)
Pr (0.001, 0.999, 0.250)
Pr (0.999, 0.001, 0.750)
Cd (0.334, 0.666, 0.057)
Cd (0.334, 0.666, 0.443)
Cd (0.666, 0.334, 0.557)
Cd (0.666, 0.334, 0.943)

Calculated values
- DOS at the Fermi energy (states/eV/f.u.) = 8.25
- space-group type = Cmcm (63)
- calculated density (g/cm³) = 6.48
- formation enthalpy at 0 K (eV per atom) = -0.16

---

Entry 11:
VASP calculation (GGA-PBE) on a relaxed TbHo2PaN4 crystal.

Cell lengths 5.994, 3.487, 6.003 Å; angles 90.00, 109.22, 90.00 degrees
Sites, in units of the cell vectors:
Tb (0.000, 0.000, 0.000)
Ho (0.500, 0.000, 0.500)
Ho (0.500, 0.500, 0.000)
Pa (0.000, 0.500, 0.500)
N (0.244, 0.500, 0.262)
N (0.245, 0.000, 0.742)
N (0.755, 0.000, 0.258)
N (0.756, 0.500, 0.738)

Calculated values
- DOS at the Fermi energy (states/eV/f.u.) = 3.53
- space-group type = P2/m (10)
- calculated density (g/cm³) = 10.87
- formation energy from raw total energies (eV/atom) = -1.710

---

Entry 12:
VASP calculation (GGA-PBE) on a relaxed Pu3Pa5S8 crystal.

Cell lengths 7.871, 7.871, 7.871 Å; angles 59.02, 59.02, 59.02 degrees
Sites, in units of the cell vectors:
Pu (0.000, 0.500, 0.500)
Pu (0.500, 0.000, 0.500)
Pu (0.500, 0.500, 0.000)
Pa (0.000, 0.000, 0.000)
Pa (0.000, 0.000, 0.500)
Pa (0.000, 0.500, 0.000)
Pa (0.500, 0.000, 0.000)
Pa (0.500, 0.500, 0.500)
S (0.250, 0.250, 0.748)
S (0.250, 0.748, 0.250)
S (0.251, 0.251, 0.251)
S (0.252, 0.750, 0.750)
S (0.748, 0.250, 0.250)
S (0.749, 0.749, 0.749)
S (0.750, 0.252, 0.750)
S (0.750, 0.750, 0.252)

Calculated values
- DOS at the Fermi energy (states/eV/f.u.) = 31.09
- space-group type = R-3m (166)
- calculated density (g/cm³) = 10.56
- formation energy from raw total energies (eV/atom) = -1.661